# HoPuMg2, optimized geometry, DFT PBE-GGA
# excess energy over the best structure of this formula in the dataset: 1.77 kJ per mole of atoms
# crystal system: cubic
data_HoPuMg2
_chemical_formula_sum 'Ho4 Pu4 Mg8'
_symmetry_space_group_name_H-M 'F m -3 m'
_symmetry_Int_Tables_number 225
_symmetry_space_group_name_Hall '-F 4 2 3'
_cell_length_a 7.556
_cell_length_b 7.556
_cell_length_c 7.556
_cell_angle_alpha 90.00
_cell_angle_beta 90.00
_cell_angle_gamma 90.00
loop_
_atom_site_label
_atom_site_type_symbol
_atom_site_fract_x
_atom_site_fract_y
_atom_site_fract_z
Ho1 Ho 0.000 0.000 0.000
Pu1 Pu 0.000 0.000 0.500
Mg1 Mg 0.250 0.250 0.250

***

# HoPuMg, optimized geometry, DFT PBE-GGA
# excess energy over the best structure of this formula in the dataset: 0.00 kJ per mole of atoms
# crystal system: tetragonal
data_HoPuMg
_chemical_formula_sum 'Ho2 Pu2 Mg2'
_symmetry_space_group_name_H-M 'I 4 m m'
_symmetry_Int_Tables_number 107
_symmetry_space_group_name_Hall 'I 4 -2'
_cell_length_a 3.331
_cell_length_b 3.331
_cell_length_c 14.773
_cell_angle_alpha 90.00
_cell_angle_beta 90.00
_cell_angle_gamma 90.00
loop_
_atom_site_label
_atom_site_type_symbol
_atom_site_fract_x
_atom_site_fract_y
_atom_site_fract_z
Ho1 Ho 0.000 0.000 0.000
Pu1 Pu 0.000 0.000 0.328
Mg1 Mg 0.000 0.000 0.663

***

# HoPuMg, optimized geometry, DFT PBE-GGA
# excess energy over the best structure of this formula in the dataset: 2.88 kJ per mole of atoms
# crystal system: trigonal
data_HoPuMg
_chemical_formula_sum 'Ho1 Pu1 Mg1'
_symmetry_space_group_name_H-M 'P 3 m 1'
_symmetry_Int_Tables_number 156
_cell_length_a 3.3836
_cell_length_b 3.3836
_cell_length_c 8.3813
_cell_angle_alpha 90.00
_cell_angle_beta 90.00
_cell_angle_gamma 120.00
loop_
_symmetry_equiv_pos_as_xyz
'x,y,z'
'-y,x-y,z'
'-x+y,-x,z'
'-y,-x,z'
'-x+y,y,z'
'x,x-y,z'
loop_
_atom_site_label
_atom_site_type_symbol
_atom_site_fract_x
_atom_site_fract_y
_atom_site_fract_z
Ho1 Ho 0.0000 0.0000 0.0000
Pu1 Pu 0.3333 0.6667 0.6578
Mg1 Mg 0.6667 0.3333 0.3286

***

# HoPuMg2, optimized geometry, DFT PBE-GGA
# excess energy over the best structure of this formula in the dataset: 0.00 kJ per mole of atoms
# crystal system: tetragonal
data_HoPuMg2
_chemical_formula_sum 'Ho1 Pu1 Mg2'
_symmetry_space_group_name_H-M 'P 4/m m m'
_symmetry_Int_Tables_number 123
_symmetry_space_group_name_Hall '-P 4 2'
_cell_length_a 3.227
_cell_length_b 3.227
_cell_length_c 10.048
_cell_angle_alpha 90.00
_cell_angle_beta 90.00
_cell_angle_gamma 90.00
loop_
_atom_site_label
_atom_site_type_symbol
_atom_site_fract_x
_atom_site_fract_y
_atom_site_fract_z
Ho1 Ho 0.000 0.000 0.000
Pu1 Pu 0.000 0.000 0.500
Mg1 Mg 0.500 0.500 0.248

***

# HoPuMg4, optimized geometry, DFT PBE-GGA
# crystal system: cubic
data_HoPuMg4
_chemical_formula_sum 'Ho4 Pu4 Mg16'
_symmetry_space_group_name_H-M 'F -4 3 m'
_symmetry_Int_Tables_number 216
_symmetry_space_group_name_Hall 'F -4 2 3'
_cell_length_a 8.510
_cell_length_b 8.510
_cell_length_c 8.510
_cell_angle_alpha 90.00
_cell_angle_beta 90.00
_cell_angle_gamma 90.00
loop_
_atom_site_label
_atom_site_type_symbol
_atom_site_fract_x
_atom_site_fract_y
_atom_site_fract_z
Ho1 Ho 0.000 0.000 0.000
Pu1 Pu 0.250 0.250 0.750
Mg1 Mg 0.125 0.125 0.375

***

# HoPuMg2, optimized geometry, DFT PBE-GGA
# excess energy over the best structure of this formula in the dataset: 19.38 kJ per mole of atoms
# crystal system: trigonal
data_HoPuMg2
_chemical_formula_sum 'Ho3 Pu3 Mg6'
_symmetry_space_group_name_H-M 'R -3 m'
_symmetry_Int_Tables_number 166
_symmetry_space_group_name_Hall '-R 3 2"'
_cell_length_a 3.2075
_cell_length_b 3.2075
_cell_length_c 36.8261
_cell_angle_alpha 90.00
_cell_angle_beta 90.00
_cell_angle_gamma 120.00
loop_
_atom_site_label
_atom_site_type_symbol
_atom_site_fract_x
_atom_site_fract_y
_atom_site_fract_z
Ho1 Ho 0.0000 0.0000 0.0000
Pu1 Pu 0.0000 0.0000 0.5000
Mg1 Mg 0.0000 0.0000 0.0883

***

# HoPuMg2, optimized geometry, DFT PBE-GGA
# excess energy over the best structure of this formula in the dataset: 5.45 kJ per mole of atoms
# crystal system: tetragonal
data_HoPuMg2
_chemical_formula_sum 'Ho1 Pu1 Mg2'
_symmetry_space_group_name_H-M 'P 4/m m m'
_symmetry_Int_Tables_number 123
_symmetry_space_group_name_Hall '-P 4 2'
_cell_length_a 4.668
_cell_length_b 4.668
_cell_length_c 4.885
_cell_angle_alpha 90.00
_cell_angle_beta 90.00
_cell_angle_gamma 90.00
loop_
_atom_site_label
_atom_site_type_symbol
_atom_site_fract_x
_atom_site_fract_y
_atom_site_fract_z
Ho1 Ho 0.000 0.000 0.000
Pu1 Pu 0.500 0.500 0.000
Mg1 Mg 0.000 0.500 0.500

***

# Ho5PuMg4, optimized geometry, DFT PBE-GGA
# crystal system: tetragonal
data_Ho5PuMg4
_chemical_formula_sum 'Ho5 Pu1 Mg4'
_symmetry_space_group_name_H-M 'P 4/m m m'
_symmetry_Int_Tables_number 123
_symmetry_space_group_name_Hall '-P 4 2'
_cell_length_a 3.695
_cell_length_b 3.695
_cell_length_c 20.110
_cell_angle_alpha 90.00
_cell_angle_beta 90.00
_cell_angle_gamma 90.00
loop_
_atom_site_label
_atom_site_type_symbol
_atom_site_fract_x
_atom_site_fract_y
_atom_site_fract_z
Ho1 Ho 0.000 0.000 0.000
Ho2 Ho 0.000 0.000 0.192
Ho3 Ho 0.000 0.000 0.388
Pu1 Pu 0.500 0.500 0.500
Mg1 Mg 0.500 0.500 0.096
Mg2 Mg 0.500 0.500 0.290

***

# SmHoPuMg, optimized geometry, DFT PBE-GGA
# crystal system: cubic
data_SmHoPuMg
_chemical_formula_sum 'Sm4 Ho4 Pu4 Mg4'
_symmetry_space_group_name_H-M 'F -4 3 m'
_symmetry_Int_Tables_number 216
_symmetry_space_group_name_Hall 'F -4 2 3'
_cell_length_a 7.751
_cell_length_b 7.751
_cell_length_c 7.751
_cell_angle_alpha 90.00
_cell_angle_beta 90.00
_cell_angle_gamma 90.00
loop_
_atom_site_label
_atom_site_type_symbol
_atom_site_fract_x
_atom_site_fract_y
_atom_site_fract_z
Sm1 Sm 0.000 0.000 0.000
Ho1 Ho 0.000 0.000 0.500
Pu1 Pu 0.250 0.250 0.750
Mg1 Mg 0.250 0.250 0.250

***

# HoPuMgSn, optimized geometry, DFT PBE-GGA
# crystal system: cubic
data_HoPuMgSn
_chemical_formula_sum 'Ho4 Pu4 Mg4 Sn4'
_symmetry_space_group_name_H-M 'F -4 3 m'
_symmetry_Int_Tables_number 216
_symmetry_space_group_name_Hall 'F -4 2 3'
_cell_length_a 7.504
_cell_length_b 7.504
_cell_length_c 7.504
_cell_angle_alpha 90.00
_cell_angle_beta 90.00
_cell_angle_gamma 90.00
loop_
_atom_site_label
_atom_site_type_symbol
_atom_site_fract_x
_atom_site_fract_y
_atom_site_fract_z
Ho1 Ho 0.000 0.000 0.000
Pu1 Pu 0.000 0.000 0.500
Mg1 Mg 0.250 0.250 0.250
Sn1 Sn 0.250 0.250 0.750

***

# TbHoPuMg, optimized geometry, DFT PBE-GGA
# crystal system: cubic
data_TbHoPuMg
_chemical_formula_sum 'Tb4 Ho4 Pu4 Mg4'
_symmetry_space_group_name_H-M 'F -4 3 m'
_symmetry_Int_Tables_number 216
_symmetry_space_group_name_Hall 'F -4 2 3'
_cell_length_a 7.705
_cell_length_b 7.705
_cell_length_c 7.705
_cell_angle_alpha 90.00
_cell_angle_beta 90.00
_cell_angle_gamma 90.00
loop_
_atom_site_label
_atom_site_type_symbol
_atom_site_fract_x
_atom_site_fract_y
_atom_site_fract_z
Tb1 Tb 0.000 0.000 0.000
Ho1 Ho 0.000 0.000 0.500
Pu1 Pu 0.250 0.250 0.750
Mg1 Mg 0.250 0.250 0.250

***

# HoPuThMg, optimized geometry, DFT PBE-GGA
# crystal system: cubic
data_HoPuThMg
_chemical_formula_sum 'Ho4 Pu4 Th4 Mg4'
_symmetry_space_group_name_H-M 'F -4 3 m'
_symmetry_Int_Tables_number 216
_symmetry_space_group_name_Hall 'F -4 2 3'
_cell_length_a 7.686
_cell_length_b 7.686
_cell_length_c 7.686
_cell_angle_alpha 90.00
_cell_angle_beta 90.00
_cell_angle_gamma 90.00
loop_
_atom_site_label
_atom_site_type_symbol
_atom_site_fract_x
_atom_site_fract_y
_atom_site_fract_z
Ho1 Ho 0.000 0.000 0.000
Pu1 Pu 0.250 0.250 0.250
Th1 Th 0.000 0.000 0.500
Mg1 Mg 0.250 0.250 0.750

***

# Ho2PuMgTl4, optimized geometry, DFT PBE-GGA
# crystal system: trigonal
data_Ho2PuMgTl4
_chemical_formula_sum 'Ho6 Pu3 Mg3 Tl12'
_symmetry_space_group_name_H-M 'R -3 m'
_symmetry_Int_Tables_number 166
_symmetry_space_group_name_Hall '-R 3 2"'
_cell_length_a 5.2784
_cell_length_b 5.2784
_cell_length_c 26.6878
_cell_angle_alpha 90.00
_cell_angle_beta 90.00
_cell_angle_gamma 120.00
loop_
_atom_site_label
_atom_site_type_symbol
_atom_site_fract_x
_atom_site_fract_y
_atom_site_fract_z
Ho1 Ho 0.0000 0.0000 0.2461
Pu1 Pu 0.0000 0.0000 0.0000
Mg1 Mg 0.0000 0.0000 0.5000
Tl1 Tl 0.0000 0.0000 0.1257
Tl2 Tl 0.0000 0.0000 0.3767

***

# YHoPuMg, optimized geometry, DFT PBE-GGA
# crystal system: cubic
data_YHoPuMg
_chemical_formula_sum 'Y4 Ho4 Pu4 Mg4'
_symmetry_space_group_name_H-M 'F -4 3 m'
_symmetry_Int_Tables_number 216
_symmetry_space_group_name_Hall 'F -4 2 3'
_cell_length_a 7.713
_cell_length_b 7.713
_cell_length_c 7.713
_cell_angle_alpha 90.00
_cell_angle_beta 90.00
_cell_angle_gamma 90.00
loop_
_atom_site_label
_atom_site_type_symbol
_atom_site_fract_x
_atom_site_fract_y
_atom_site_fract_z
Y1 Y 0.000 0.000 0.000
Ho1 Ho 0.000 0.000 0.500
Pu1 Pu 0.250 0.250 0.250
Mg1 Mg 0.250 0.250 0.750

***

Computed raw total energy, in the same sequence as the records: -5.424; -6.723; -6.693; -5.443; -4.166; -5.242; -5.386; -4.370; -6.155; -6.360; -6.137; -6.806; -4.484; -6.594 eV per atom.
Computed energy relative to the elements, in the same sequence as the records: 0.100; 0.112; 0.141; 0.082; 0.048; 0.283; 0.139; -0.010; 0.151; -0.233; 0.147; 0.175; -0.165; 0.148 eV/atom.